Entry 1:
Computed, not measured: an optimized crystal structure of Nd3SmAl2 at the PBE level of DFT.

The energy above the most stable polymorph in this dataset is 54 meV/atom. The energy relative to the elements comes out at -0.194 eV/atom. The value obtained for the density of states at the Fermi level is 21.4 states/eV per cell.

The structure belongs to space group C2/m (No. 12); the cell edges are 16.107, 4.943 and 10.084 Å and the angles 90.00°, 119.43° and 90.00°. The asymmetric unit holds Nd at (0.037, 0.000, 0.354), Nd at (0.135, 0.500, 0.692), Nd at (0.206, 0.500, 0.360), Sm at (0.120, 0.000, 0.066), Al at (0.015, 0.500, 0.878) and Al at (0.245, 0.500, 0.071).

Entry 2:
Computed, not measured: an optimized crystal structure of Nd2SmAl9 at the PBE level of DFT.

The energy relative to the elements comes out at -0.374 eV/atom. The value obtained for the density of states at the Fermi level is 15.5 states/eV per cell.

The structure belongs to space group R-3m (No. 166, hexagonal axes); the cell edges are 5.6674, 5.6674 and 26.5394 Å and the angles 90.00°, 90.00° and 120.00°. The asymmetric unit holds Nd at (0.0000, 0.0000, 0.1416), Sm at (0.0000, 0.0000, 0.0000), Al at (0.0000, 0.0000, 0.3353), Al at (0.0000, 0.0000, 0.5000) and Al at (0.0072, 0.5036, 0.9176).

Entry 3:
Computed, not measured: an optimized crystal structure of Nd3Sm4Al at the PBE level of DFT.

The energy relative to the elements comes out at -0.073 eV/atom. The value obtained for the density of states at the Fermi level is 10.8 states/eV per cell.

The structure belongs to space group P4/mmm (No. 123); the cell edges are 3.635, 3.635 and 19.550 Å and the angles 90.00°, 90.00° and 90.00°. The asymmetric unit holds Nd at (0.000, 0.000, 0.000), Nd at (0.000, 0.000, 0.267), Sm at (0.500, 0.500, 0.134), Sm at (0.500, 0.500, 0.403) and Al at (0.000, 0.000, 0.500).

Number 1: VASP energy -4.61 eV/atom. Number 2: VASP energy -4.37 eV/atom. Number 3: VASP energy -4.69 eV/atom.